Run 1
BiIrC3 | GGA-PBE | relaxed

The structure in CIF format:
```
data_BiIrC3
_chemical_formula_sum 'Bi1 Ir1 C3'
_space_group_name_H-M_alt 'P m -3 m'
_space_group_IT_number 221
_space_group_name_Hall '-P 4 2 3'
_cell_length_a 4.0906
_cell_length_b 4.0906
_cell_length_c 4.0906
_cell_angle_alpha 90.00
_cell_angle_beta 90.00
_cell_angle_gamma 90.00
loop_
_atom_site_label
_atom_site_fract_x
_atom_site_fract_y
_atom_site_fract_z
Bi1 0.0000 0.0000 0.0000
Ir1 0.5000 0.5000 0.5000
C1 0.0000 0.5000 0.5000
```

***

Run 2
BiIrC3 | GGA-PBE | relaxed

The structure in CIF format:
```
data_BiIrC3
_chemical_formula_sum 'Bi1 Ir1 C3'
_space_group_name_H-M_alt 'P m -3 m'
_space_group_IT_number 221
_space_group_name_Hall '-P 4 2 3'
_cell_length_a 4.3551
_cell_length_b 4.3551
_cell_length_c 4.3551
_cell_angle_alpha 90.00
_cell_angle_beta 90.00
_cell_angle_gamma 90.00
loop_
_atom_site_label
_atom_site_fract_x
_atom_site_fract_y
_atom_site_fract_z
Bi1 0.0000 0.0000 0.0000
Ir1 0.5000 0.5000 0.5000
C1 0.0000 0.0000 0.5000
```

***

Short version: run 2 is the least stable of them.

***

Run 1
Bi3IrC | GGA-PBE | relaxed

The structure in CIF format:
```
data_Bi3IrC
_chemical_formula_sum 'Bi3 Ir1 C1'
_space_group_name_H-M_alt 'P m -3 m'
_space_group_IT_number 221
_space_group_name_Hall '-P 4 2 3'
_cell_length_a 5.3556
_cell_length_b 5.3556
_cell_length_c 5.3556
_cell_angle_alpha 90.00
_cell_angle_beta 90.00
_cell_angle_gamma 90.00
loop_
_atom_site_label
_atom_site_fract_x
_atom_site_fract_y
_atom_site_fract_z
Bi1 0.0000 0.0000 0.5000
Ir1 0.0000 0.0000 0.0000
C1 0.5000 0.5000 0.5000
```

***

Run 2
Bi3IrC | GGA-PBE | relaxed

The structure in CIF format:
```
data_Bi3IrC
_chemical_formula_sum 'Bi3 Ir1 C1'
_space_group_name_H-M_alt 'P m -3 m'
_space_group_IT_number 221
_space_group_name_Hall '-P 4 2 3'
_cell_length_a 4.8324
_cell_length_b 4.8324
_cell_length_c 4.8324
_cell_angle_alpha 90.00
_cell_angle_beta 90.00
_cell_angle_gamma 90.00
loop_
_atom_site_label
_atom_site_fract_x
_atom_site_fract_y
_atom_site_fract_z
Bi1 0.0000 0.0000 0.5000
Ir1 0.5000 0.5000 0.5000
C1 0.0000 0.0000 0.0000
```

***

Short version: run 1 is the least stable of them.

***

Run 1
K2BiC | GGA-PBE | relaxed

The structure in CIF format:
```
data_K2BiC
_chemical_formula_sum 'K8 Bi4 C4'
_space_group_name_H-M_alt 'I -4 2 d'
_space_group_IT_number 122
_space_group_name_Hall 'I -4 2bw'
_cell_length_a 12.0486
_cell_length_b 12.0486
_cell_length_c 4.6797
_cell_angle_alpha 90.00
_cell_angle_beta 90.00
_cell_angle_gamma 90.00
loop_
_atom_site_label
_atom_site_fract_x
_atom_site_fract_y
_atom_site_fract_z
K1 0.0359 0.7500 0.1250
Bi1 0.0000 0.0000 0.5000
C1 0.0000 0.0000 0.0000
```

***

Run 2
K2BiC | GGA-PBE | relaxed

The structure in CIF format:
```
data_K2BiC
_chemical_formula_sum 'K8 Bi4 C4'
_space_group_name_H-M_alt 'F m -3 m'
_space_group_IT_number 225
_space_group_name_Hall '-F 4 2 3'
_cell_length_a 8.1402
_cell_length_b 8.1402
_cell_length_c 8.1402
_cell_angle_alpha 90.00
_cell_angle_beta 90.00
_cell_angle_gamma 90.00
loop_
_atom_site_label
_atom_site_fract_x
_atom_site_fract_y
_atom_site_fract_z
K1 0.2500 0.2500 0.2500
Bi1 0.0000 0.0000 0.0000
C1 0.0000 0.0000 0.5000
```

***

Short version: run 2 is the least stable of them.

***

Run 1
La4BiC | GGA-PBE | relaxed

The structure in CIF format:
```
data_La4BiC
_chemical_formula_sum 'La16 Bi4 C4'
_space_group_name_H-M_alt 'C 1 2/c 1'
_space_group_IT_number 15
_space_group_name_Hall '-C 2yc'
_cell_length_a 9.8770
_cell_length_b 15.2461
_cell_length_c 6.5045
_cell_angle_alpha 90.00
_cell_angle_beta 126.33
_cell_angle_gamma 90.00
loop_
_atom_site_label
_atom_site_fract_x
_atom_site_fract_y
_atom_site_fract_z
La1 0.1369 0.1910 0.0926
La2 0.2026 0.0479 0.6336
Bi1 0.0000 0.3858 0.7500
C1 0.0000 0.0710 0.7500
```

***

Run 2
La4BiC | GGA-PBE | relaxed

The structure in CIF format:
```
data_La4BiC
_chemical_formula_sum 'La8 Bi2 C2'
_space_group_name_H-M_alt 'P -1'
_space_group_IT_number 2
_space_group_name_Hall '-P 1'
_cell_length_a 6.3475
_cell_length_b 7.7090
_cell_length_c 8.3664
_cell_angle_alpha 106.31
_cell_angle_beta 112.25
_cell_angle_gamma 90.00
loop_
_atom_site_label
_atom_site_fract_x
_atom_site_fract_y
_atom_site_fract_z
La1 0.0056 0.4522 0.1934
La2 0.1873 0.9514 0.1933
La3 0.2484 0.8243 0.6235
La4 0.3749 0.3241 0.6235
Bi1 0.3796 0.2501 0.0004
C1 0.0000 0.5000 0.5000
C2 0.5000 0.0000 0.5000
```

***

Short version: run 1 is the least stable of them.

***

Run 1
La5Bi2C | GGA-PBE | relaxed

The structure in CIF format:
```
data_La5Bi2C
_chemical_formula_sum 'La20 Bi8 C4'
_space_group_name_H-M_alt 'P n m a'
_space_group_IT_number 62
_space_group_name_Hall '-P 2ac 2n'
_cell_length_a 9.2819
_cell_length_b 7.0866
_cell_length_c 15.0909
_cell_angle_alpha 90.00
_cell_angle_beta 90.00
_cell_angle_gamma 90.00
loop_
_atom_site_label
_atom_site_fract_x
_atom_site_fract_y
_atom_site_fract_z
La1 0.0000 0.0000 0.0000
La2 0.0476 0.2500 0.2038
La3 0.1453 0.0064 0.6136
La4 0.2262 0.7500 0.3931
Bi1 0.0539 0.7500 0.1989
Bi2 0.1921 0.2500 0.4134
C1 0.1960 0.2500 0.0587
```

***

Run 2
La5Bi2C | GGA-PBE | relaxed

The structure in CIF format:
```
data_La5Bi2C
_chemical_formula_sum 'La20 Bi8 C4'
_space_group_name_H-M_alt 'C m c m'
_space_group_IT_number 63
_space_group_name_Hall '-C 2c 2'
_cell_length_a 5.9803
_cell_length_b 10.6840
_cell_length_c 16.2264
_cell_angle_alpha 90.00
_cell_angle_beta 90.00
_cell_angle_gamma 90.00
loop_
_atom_site_label
_atom_site_fract_x
_atom_site_fract_y
_atom_site_fract_z
La1 0.0000 0.0954 0.1340
La2 0.0000 0.2509 0.7500
La3 0.0000 0.4031 0.1342
Bi1 0.0000 0.2507 0.5561
C1 0.0000 0.2490 0.2500
```

***

Short version: run 2 is the least stable of them.

***

Run 1
LaBi3C | GGA-PBE | relaxed

The structure in CIF format:
```
data_LaBi3C
_chemical_formula_sum 'La1 Bi3 C1'
_space_group_name_H-M_alt 'P m -3 m'
_space_group_IT_number 221
_space_group_name_Hall '-P 4 2 3'
_cell_length_a 6.2003
_cell_length_b 6.2003
_cell_length_c 6.2003
_cell_angle_alpha 90.00
_cell_angle_beta 90.00
_cell_angle_gamma 90.00
loop_
_atom_site_label
_atom_site_fract_x
_atom_site_fract_y
_atom_site_fract_z
La1 0.0000 0.0000 0.0000
Bi1 0.0000 0.0000 0.5000
C1 0.5000 0.5000 0.5000
```

***

Run 2
LaBi3C | GGA-PBE | relaxed

The structure in CIF format:
```
data_LaBi3C
_chemical_formula_sum 'La1 Bi3 C1'
_space_group_name_H-M_alt 'P m -3 m'
_space_group_IT_number 221
_space_group_name_Hall '-P 4 2 3'
_cell_length_a 5.1111
_cell_length_b 5.1111
_cell_length_c 5.1111
_cell_angle_alpha 90.00
_cell_angle_beta 90.00
_cell_angle_gamma 90.00
loop_
_atom_site_label
_atom_site_fract_x
_atom_site_fract_y
_atom_site_fract_z
La1 0.0000 0.0000 0.0000
Bi1 0.0000 0.5000 0.5000
C1 0.5000 0.5000 0.5000
```

***

Short version: run 1 is the least stable of them.

***

Run 1
LaNiBiC2 | GGA-PBE | relaxed

The structure in CIF format:
```
data_LaNiBiC2
_chemical_formula_sum 'La1 Ni1 Bi1 C2'
_space_group_name_H-M_alt 'P 4/m m m'
_space_group_IT_number 123
_space_group_name_Hall '-P 4 2'
_cell_length_a 4.4484
_cell_length_b 4.4484
_cell_length_c 6.4052
_cell_angle_alpha 90.00
_cell_angle_beta 90.00
_cell_angle_gamma 90.00
loop_
_atom_site_label
_atom_site_fract_x
_atom_site_fract_y
_atom_site_fract_z
La1 0.0000 0.0000 0.0000
Ni1 0.5000 0.5000 0.0000
Bi1 0.0000 0.0000 0.5000
C1 0.0000 0.5000 0.5000
```

***

Run 2
LaNiBiC2 | GGA-PBE | relaxed

The structure in CIF format:
```
data_LaNiBiC2
_chemical_formula_sum 'La1 Ni1 Bi1 C2'
_space_group_name_H-M_alt 'P 4/m m m'
_space_group_IT_number 123
_space_group_name_Hall '-P 4 2'
_cell_length_a 4.5895
_cell_length_b 4.5895
_cell_length_c 4.6431
_cell_angle_alpha 90.00
_cell_angle_beta 90.00
_cell_angle_gamma 90.00
loop_
_atom_site_label
_atom_site_fract_x
_atom_site_fract_y
_atom_site_fract_z
La1 0.0000 0.0000 0.0000
Ni1 0.5000 0.5000 0.0000
Bi1 0.5000 0.5000 0.5000
C1 0.0000 0.5000 0.5000
```

***

Short version: run 1 is the least stable of them.

***

Run 1
La2ScBiC | GGA-PBE | relaxed

The structure in CIF format:
```
data_La2ScBiC
_chemical_formula_sum 'La2 Sc1 Bi1 C1'
_space_group_name_H-M_alt 'P 4/m m m'
_space_group_IT_number 123
_space_group_name_Hall '-P 4 2'
_cell_length_a 5.6653
_cell_length_b 5.6653
_cell_length_c 5.3087
_cell_angle_alpha 90.00
_cell_angle_beta 90.00
_cell_angle_gamma 90.00
loop_
_atom_site_label
_atom_site_fract_x
_atom_site_fract_y
_atom_site_fract_z
La1 0.0000 0.5000 0.0000
Sc1 0.0000 0.0000 0.0000
Bi1 0.0000 0.0000 0.5000
C1 0.5000 0.5000 0.5000
```

***

Run 2
La2ScBiC | GGA-PBE | relaxed

The structure in CIF format:
```
data_La2ScBiC
_chemical_formula_sum 'La2 Sc1 Bi1 C1'
_space_group_name_H-M_alt 'P 4/m m m'
_space_group_IT_number 123
_space_group_name_Hall '-P 4 2'
_cell_length_a 5.3072
_cell_length_b 5.3072
_cell_length_c 4.5820
_cell_angle_alpha 90.00
_cell_angle_beta 90.00
_cell_angle_gamma 90.00
loop_
_atom_site_label
_atom_site_fract_x
_atom_site_fract_y
_atom_site_fract_z
La1 0.0000 0.5000 0.0000
Sc1 0.0000 0.0000 0.5000
Bi1 0.5000 0.5000 0.5000
C1 0.0000 0.0000 0.0000
```

***

Short version: run 1 is the least stable of them.

***

Run 1
Li2BiC | GGA-PBE | relaxed

The structure in CIF format:
```
data_Li2BiC
_chemical_formula_sum 'Li8 Bi4 C4'
_space_group_name_H-M_alt 'F m -3 m'
_space_group_IT_number 225
_space_group_name_Hall '-F 4 2 3'
_cell_length_a 6.2824
_cell_length_b 6.2824
_cell_length_c 6.2824
_cell_angle_alpha 90.00
_cell_angle_beta 90.00
_cell_angle_gamma 90.00
loop_
_atom_site_label
_atom_site_fract_x
_atom_site_fract_y
_atom_site_fract_z
Li1 0.2500 0.2500 0.2500
Bi1 0.0000 0.0000 0.0000
C1 0.0000 0.0000 0.5000
```

***

Run 2
Li2BiC | GGA-PBE | relaxed

The structure in CIF format:
```
data_Li2BiC
_chemical_formula_sum 'Li8 Bi4 C4'
_space_group_name_H-M_alt 'I -4 2 d'
_space_group_IT_number 122
_space_group_name_Hall 'I -4 2bw'
_cell_length_a 3.8180
_cell_length_b 3.8180
_cell_length_c 17.0307
_cell_angle_alpha 90.00
_cell_angle_beta 90.00
_cell_angle_gamma 90.00
loop_
_atom_site_label
_atom_site_fract_x
_atom_site_fract_y
_atom_site_fract_z
Li1 0.1720 0.7500 0.1250
Bi1 0.0000 0.0000 0.5000
C1 0.0000 0.0000 0.0000
```

***

Short version: run 1 is the least stable of them.

***

Run 1
LiBiC3 | GGA-PBE | relaxed

The structure in CIF format:
```
data_LiBiC3
_chemical_formula_sum 'Li1 Bi1 C3'
_space_group_name_H-M_alt 'P m -3 m'
_space_group_IT_number 221
_space_group_name_Hall '-P 4 2 3'
_cell_length_a 4.5782
_cell_length_b 4.5782
_cell_length_c 4.5782
_cell_angle_alpha 90.00
_cell_angle_beta 90.00
_cell_angle_gamma 90.00
loop_
_atom_site_label
_atom_site_fract_x
_atom_site_fract_y
_atom_site_fract_z
Li1 0.0000 0.0000 0.0000
Bi1 0.5000 0.5000 0.5000
C1 0.0000 0.5000 0.5000
```

***

Run 2
LiBiC3 | GGA-PBE | relaxed

The structure in CIF format:
```
data_LiBiC3
_chemical_formula_sum 'Li1 Bi1 C3'
_space_group_name_H-M_alt 'P m -3 m'
_space_group_IT_number 221
_space_group_name_Hall '-P 4 2 3'
_cell_length_a 3.9392
_cell_length_b 3.9392
_cell_length_c 3.9392
_cell_angle_alpha 90.00
_cell_angle_beta 90.00
_cell_angle_gamma 90.00
loop_
_atom_site_label
_atom_site_fract_x
_atom_site_fract_y
_atom_site_fract_z
Li1 0.0000 0.0000 0.0000
Bi1 0.5000 0.5000 0.5000
C1 0.0000 0.0000 0.5000
```

***

Short version: run 1 is the least stable of them.

***

Run 1
Li2BiC2 | GGA-PBE | relaxed

The structure in CIF format:
```
data_Li2BiC2
_chemical_formula_sum 'Li4 Bi2 C4'
_space_group_name_H-M_alt 'I 4/m m m'
_space_group_IT_number 139
_space_group_name_Hall '-I 4 2'
_cell_length_a 4.0567
_cell_length_b 4.0567
_cell_length_c 9.2090
_cell_angle_alpha 90.00
_cell_angle_beta 90.00
_cell_angle_gamma 90.00
loop_
_atom_site_label
_atom_site_fract_x
_atom_site_fract_y
_atom_site_fract_z
Li1 0.0000 0.5000 0.2500
Bi1 0.0000 0.0000 0.0000
C1 0.0000 0.0000 0.4280
```

***

Run 2
Li2BiC2 | GGA-PBE | relaxed

The structure in CIF format:
```
data_Li2BiC2
_chemical_formula_sum 'Li4 Bi2 C4'
_space_group_name_H-M_alt 'P 4/m b m'
_space_group_IT_number 127
_space_group_name_Hall '-P 4 2ab'
_cell_length_a 6.3542
_cell_length_b 6.3542
_cell_length_c 3.6464
_cell_angle_alpha 90.00
_cell_angle_beta 90.00
_cell_angle_gamma 90.00
loop_
_atom_site_label
_atom_site_fract_x
_atom_site_fract_y
_atom_site_fract_z
Li1 0.1464 0.3536 0.0000
Bi1 0.0000 0.0000 0.5000
C1 0.0739 0.5739 0.5000
```

***

Short version: run 1 is the least stable of them.

***

Run 1
MgBi2C | GGA-PBE | relaxed

The structure in CIF format:
```
data_MgBi2C
_chemical_formula_sum 'Mg4 Bi8 C4'
_space_group_name_H-M_alt 'F m -3 m'
_space_group_IT_number 225
_space_group_name_Hall '-F 4 2 3'
_cell_length_a 7.1133
_cell_length_b 7.1133
_cell_length_c 7.1133
_cell_angle_alpha 90.00
_cell_angle_beta 90.00
_cell_angle_gamma 90.00
loop_
_atom_site_label
_atom_site_fract_x
_atom_site_fract_y
_atom_site_fract_z
Mg1 0.0000 0.0000 0.0000
Bi1 0.2500 0.2500 0.2500
C1 0.0000 0.0000 0.5000
```

***

Run 2
MgBi2C | GGA-PBE | relaxed

The structure in CIF format:
```
data_MgBi2C
_chemical_formula_sum 'Mg4 Bi8 C4'
_space_group_name_H-M_alt 'I -4 2 d'
_space_group_IT_number 122
_space_group_name_Hall 'I -4 2bw'
_cell_length_a 6.5694
_cell_length_b 6.5694
_cell_length_c 9.9138
_cell_angle_alpha 90.00
_cell_angle_beta 90.00
_cell_angle_gamma 90.00
loop_
_atom_site_label
_atom_site_fract_x
_atom_site_fract_y
_atom_site_fract_z
Mg1 0.0000 0.0000 0.0000
Bi1 0.1762 0.2500 0.6250
C1 0.0000 0.0000 0.5000
```

***

Short version: run 1 is the least stable of them.